Entry 1:
A relaxed structure of TaCuHg2Cl. Source: Alexandria via LeMat-Bulk, functional PBE-GGA.

Cell and atoms, written as POSCAR:
```
TaCuHg2Cl
1.0
5.736 0.000 0.000
0.000 5.736 0.000
0.000 0.000 3.986
Ta Cu Hg Cl
1 1 2 1
Cartesian
0.000 0.000 0.000 Ta
2.868 2.868 0.000 Cu
0.000 2.868 1.993 Hg
2.868 0.000 1.993 Hg
2.868 2.868 1.993 Cl
```

- Space group: P4/mmm
- DOS(E_F): 0.61 states/eV/atom
- VASP energy: -2.52 eV/atom
- Energy relative to the elements, uncorrected: 1158 meV per atom

---

Entry 2:
A relaxed structure of AgPd2Br2. Source: Alexandria via LeMat-Bulk, functional PBE-GGA.

Cell and atoms, written as POSCAR:
```
AgPd2Br2
1.0
-2.604 2.604 4.186
2.604 -2.604 4.186
2.604 2.604 -4.186
Ag Pd Br
1 2 2
Cartesian
0.000 0.000 0.000 Ag
0.000 0.000 2.679 Pd
0.000 0.000 5.693 Pd
2.604 0.000 2.093 Br
0.000 2.604 2.093 Br
```

- Space group: I4/mmm
- DOS(E_F): 0.37 states/eV/atom
- VASP energy: -3.16 eV/atom
- Energy relative to the elements, uncorrected: 154 meV per atom

---

Entry 3:
A relaxed structure of TlFeSi2C. Source: Alexandria via LeMat-Bulk, functional PBE-GGA.

Cell and atoms, written as POSCAR:
```
TlFeSi2C
1.0
4.274 0.000 0.000
0.000 4.274 0.000
0.000 0.000 5.145
Tl Fe Si C
1 1 2 1
Cartesian
0.000 0.000 0.000 Tl
0.000 0.000 2.573 Fe
0.000 2.137 2.573 Si
2.137 0.000 2.573 Si
2.137 2.137 0.000 C
```

- Space group: P4/mmm
- DOS(E_F): 0.41 states/eV/atom
- VASP energy: -4.85 eV/atom
- Energy relative to the elements, uncorrected: 1332 meV per atom

---

Entry 4:
A relaxed structure of BC5. Source: Alexandria via LeMat-Bulk, functional PBE-GGA.

Cell and atoms, written as POSCAR:
```
BC5
1.0
5.711 -1.259 0.000
5.711 1.259 0.000
-1.139 0.000 5.024
B C
2 10
Cartesian
0.000 0.000 0.000 B
6.682 0.000 4.176 B
-0.057 0.000 3.886 C
0.625 0.000 1.486 C
3.560 0.000 0.837 C
3.024 0.000 3.313 C
3.511 0.000 4.778 C
4.222 0.000 2.268 C
7.205 0.000 1.685 C
8.388 0.000 0.658 C
7.876 0.000 3.089 C
10.821 0.000 2.480 C
```

- DFT formation energy: 0.256 eV per atom
- Space group: Cm
- DOS(E_F): 0.09 states/eV/atom
- VASP energy: -8.54 eV/atom

---

Entry 5:
A relaxed structure of NaGaSe2. Source: Alexandria via LeMat-Bulk, functional PBE-GGA.

Cell and atoms, written as POSCAR:
```
NaGaSe2
1.0
1.911 1.103 7.127
-1.911 1.103 7.127
0.000 -2.206 7.127
Na Ga Se
1 1 2
Cartesian
0.000 0.000 0.000 Na
0.000 0.000 17.814 Ga
0.000 0.000 5.020 Se
0.000 0.000 9.233 Se
```

- Space group: R3m
- VASP energy: -3.54 eV/atom
- Energy relative to the elements, uncorrected: -712 meV per atom

---

Entry 6:
A relaxed structure of KMgSiW. Source: Alexandria via LeMat-Bulk, functional PBE-GGA.

Cell and atoms, written as POSCAR:
```
KMgSiW
1.0
2.795 0.000 0.000
0.000 4.935 0.000
-0.032 0.000 7.316
K Mg Si W
1 1 1 1
Cartesian
0.000 0.000 0.000 K
1.402 0.000 3.917 Mg
1.400 2.468 2.172 Si
0.004 2.468 4.241 W
```

- Space group: Pm
- DOS(E_F): 0.74 states/eV/atom
- VASP energy: -4.64 eV/atom
- Energy relative to the elements, uncorrected: 629 meV per atom

---

Entry 7:
A relaxed structure of Sc2AgGePt. Source: Alexandria via LeMat-Bulk, functional PBE-GGA.

Cell and atoms, written as POSCAR:
```
Sc2AgGePt
1.0
4.972 0.000 0.000
0.000 4.972 0.000
0.000 0.000 5.060
Sc Ag Ge Pt
2 1 1 1
Cartesian
0.000 2.486 0.000 Sc
2.486 0.000 0.000 Sc
0.000 0.000 2.530 Ag
2.486 2.486 2.530 Ge
0.000 0.000 0.000 Pt
```

- DFT formation energy: -0.010 eV per atom
- Space group: P4/mmm
- DOS(E_F): 0.73 states/eV/atom
- VASP energy: -5.24 eV/atom

---

Entry 8:
A relaxed structure of TaTcNi2. Source: Alexandria via LeMat-Bulk, functional PBE-GGA.

Cell and atoms, written as POSCAR:
```
TaTcNi2
1.0
4.379 -1.330 0.000
4.379 1.330 0.000
-0.695 0.000 4.676
Ta Tc Ni
1 1 2
Cartesian
0.000 0.000 0.000 Ta
1.592 0.000 3.253 Tc
3.980 0.000 2.267 Ni
6.406 0.000 1.102 Ni
```

- DFT formation energy: -0.080 eV per atom
- Space group: Cm
- DOS(E_F): 1.04 states/eV/atom
- VASP energy: -8.53 eV/atom